Arrangement 1

Material: Tl2FeN
Method: DFT, GGA-PBE
State: optimized geometry

a = 5.905 Å, b = 5.905 Å, c = 5.905 Å
α = 111.50°, β = 111.50°, γ = 105.48°
Element x y z (fractional)
Tl: 0.077 0.625 0.952
Tl: 0.375 0.327 0.452
Tl: 0.673 0.125 0.048
Tl: 0.875 0.923 0.548
Fe: 0.250 0.750 0.500
Fe: 0.500 0.500 0.000
N: 0.000 0.000 0.000
N: 0.750 0.250 0.500

Results
**Magnetization**: 0.751 μB/atom
**Mass density**: 10.07 g/cm3
**Space group**: No. 122


Arrangement 2

Material: Tl2FeN
Method: DFT, GGA-PBE
State: optimized geometry

a = 4.574 Å, b = 4.574 Å, c = 4.574 Å
α = 60.00°, β = 60.00°, γ = 60.00°
Element x y z (fractional)
Tl: 0.250 0.250 0.250
Tl: 0.750 0.750 0.750
Fe: 0.000 0.000 0.000
N: 0.500 0.500 0.500

Results
**Magnetization**: 0.000 μB/atom
**Mass density**: 11.75 g/cm3
**Space group**: No. 225


Stability, highest: arrangement 1


Arrangement 1

Material: UFeN
Method: DFT, GGA-PBE
State: optimized geometry

a = 3.598 Å, b = 3.598 Å, c = 3.284 Å
α = 90.00°, β = 90.00°, γ = 120.00°
Element x y z (fractional)
U: 0.000 0.000 0.000
Fe: 0.667 0.333 0.485
N: 0.333 0.667 0.522

Results
**Magnetization**: 0.000 μB/atom
**Mass density**: 13.89 g/cm3
**Space group**: No. 156


Arrangement 2

Material: UFeN
Method: DFT, GGA-PBE
State: optimized geometry

a = 3.723 Å, b = 4.522 Å, c = 10.082 Å
α = 90.00°, β = 90.00°, γ = 90.00°
Element x y z (fractional)
U: 0.250 0.250 0.071
U: 0.250 0.750 0.392
U: 0.750 0.250 0.608
U: 0.750 0.750 0.929
Fe: 0.250 0.000 0.796
Fe: 0.250 0.500 0.796
Fe: 0.750 0.000 0.204
Fe: 0.750 0.500 0.204
N: 0.250 0.250 0.496
N: 0.250 0.750 0.137
N: 0.750 0.250 0.863
N: 0.750 0.750 0.504

Results
**Magnetization**: 0.015 μB/atom
**Mass density**: 12.05 g/cm3
**Space group**: No. 59


Stability, highest: arrangement 1


Arrangement 1

Material: FeWN
Method: DFT, GGA-PBE
State: optimized geometry

a = 5.927 Å, b = 5.927 Å, c = 4.372 Å
α = 107.25°, β = 107.25°, γ = 28.51°
Element x y z (fractional)
Fe: 0.064 0.064 0.317
Fe: 0.936 0.936 0.683
W: 0.367 0.367 0.146
W: 0.633 0.633 0.854
N: 0.205 0.205 0.214
N: 0.795 0.795 0.786

Results
**Magnetization**: 0.343 μB/atom
**Mass density**: 12.08 g/cm3
**Space group**: No. 12


Arrangement 2

Material: FeWN
Method: DFT, GGA-PBE
State: optimized geometry

a = 3.924 Å, b = 3.924 Å, c = 3.924 Å
α = 130.01°, β = 130.01°, γ = 73.39°
Element x y z (fractional)
Fe: 0.000 0.000 0.000
W: 0.631 0.631 0.000
N: 0.308 0.308 0.000

Results
**Magnetization**: 0.000 μB/atom
**Mass density**: 12.17 g/cm3
**Space group**: No. 107


Stability, highest: arrangement 1


Arrangement 1

Material: Fe2WN
Method: DFT, GGA-PBE
State: optimized geometry

a = 5.341 Å, b = 5.341 Å, c = 5.341 Å
α = 123.34°, β = 123.34°, γ = 84.30°
Element x y z (fractional)
Fe: 0.023 0.625 0.898
Fe: 0.375 0.273 0.398
Fe: 0.727 0.125 0.102
Fe: 0.875 0.977 0.602
W: 0.250 0.750 0.500
W: 0.500 0.500 0.000
N: 0.000 0.000 0.000
N: 0.750 0.250 0.500

Results
**Magnetization**: 0.000 μB/atom
**Mass density**: 10.10 g/cm3
**Space group**: No. 122


Arrangement 2

Material: Fe2WN
Method: DFT, GGA-PBE
State: optimized geometry

a = 4.024 Å, b = 4.024 Å, c = 4.024 Å
α = 60.00°, β = 60.00°, γ = 60.00°
Element x y z (fractional)
Fe: 0.250 0.250 0.250
Fe: 0.750 0.750 0.750
W: 0.000 0.000 0.000
N: 0.500 0.500 0.500

Results
**Magnetization**: 0.497 μB/atom
**Mass density**: 11.15 g/cm3
**Space group**: No. 225


Stability, highest: arrangement 1